Record 1
{
  "formula": "Ca3SeBr",
  "functional": "meta-GGA SCAN",
  "state": "PBEsol geometry",
  "lattice_angstrom": [[-2.162, -0.486, 4.922], [-2.923, -4.209, -1.699], [3.991, -3.346, 1.423]],
  "species": ["Br", "Ca", "Ca", "Ca", "Se"],
  "frac_coords": [[0.000, 0.000, 0.000], [0.500, 0.000, 0.000], [0.000, 0.000, 0.500], [0.000, 0.500, 0.000], [0.500, 0.500, 0.500]],
  "formation_energy_uncorrected_mev_per_atom": -509,
  "m_tot_mub_per_cell": 2.482,
  "spacegroup": "No. 221"
}

***

Record 2
{
  "formula": "CaSe4Br",
  "functional": "meta-GGA SCAN",
  "state": "PBEsol geometry",
  "lattice_angstrom": [[-0.490, 5.013, 2.733], [-5.189, 2.121, 1.186], [-1.869, 0.140, 5.415]],
  "species": ["Se", "Se", "Se", "Se", "Ca", "Br"],
  "frac_coords": [[0.375, 0.875, 0.375], [0.375, 0.375, 0.375], [0.375, 0.375, 0.875], [0.875, 0.375, 0.375], [0.000, 0.000, 0.000], [0.750, 0.750, 0.750]],
  "formation_energy_uncorrected_mev_per_atom": -342,
  "m_tot_mub_per_cell": 0.000,
  "spacegroup": "No. 216"
}

***

Record 3
{
  "formula": "CaSeBr",
  "functional": "meta-GGA SCAN",
  "state": "PBEsol geometry",
  "lattice_angstrom": [[-1.015, 3.998, 2.667], [-3.322, -0.235, 3.610], [1.445, 0.257, 4.687]],
  "species": ["Ca", "Se", "Br"],
  "frac_coords": [[0.250, 0.250, 0.250], [0.000, 0.000, 0.000], [0.500, 0.500, 0.500]],
  "formation_energy_uncorrected_mev_per_atom": -1368,
  "m_tot_mub_per_cell": 0.826,
  "spacegroup": "No. 216"
}

***

Record 4
{
  "formula": "CaSiSe2Br",
  "functional": "meta-GGA SCAN",
  "state": "PBEsol geometry",
  "lattice_angstrom": [[4.909, 0.000, 0.000], [0.000, 4.909, 0.000], [0.000, 0.000, 5.007]],
  "species": ["Ca", "Si", "Se", "Se", "Br"],
  "frac_coords": [[0.500, 0.500, 0.500], [0.000, 0.000, 0.000], [0.500, 0.000, 0.000], [0.000, 0.500, 0.000], [0.000, 0.000, 0.500]],
  "e_above_lowest_polymorph_kcal_per_mol_atoms": 0.00,
  "formation_energy_uncorrected_mev_per_atom": -748,
  "m_tot_mub_per_cell": 0.000,
  "spacegroup": "No. 123"
}

***

Record 5
{
  "formula": "CaSiSe2Br",
  "functional": "meta-GGA SCAN",
  "state": "PBEsol geometry",
  "lattice_angstrom": [[5.266, 0.000, 0.000], [0.000, 5.358, 0.000], [0.000, 0.000, 5.358]],
  "species": ["Br", "Se", "Se", "Ca", "Si"],
  "frac_coords": [[0.500, 0.000, 0.000], [0.000, 0.500, 0.000], [0.000, 0.000, 0.500], [0.000, 0.000, 0.000], [0.500, 0.500, 0.500]],
  "e_above_lowest_polymorph_kcal_per_mol_atoms": 19.03,
  "formation_energy_uncorrected_mev_per_atom": 78,
  "m_tot_mub_per_cell": 0.001,
  "spacegroup": "No. 123"
}

***

Record 6
{
  "formula": "SrCaSeBr2",
  "functional": "meta-GGA SCAN",
  "state": "PBEsol geometry",
  "lattice_angstrom": [[-1.201, -1.726, 5.159], [-4.538, -2.596, -1.925], [3.173, -4.882, -0.895]],
  "species": ["Sr", "Se", "Br", "Br", "Ca"],
  "frac_coords": [[0.000, 0.000, 0.000], [0.000, 0.000, 0.500], [0.000, 0.500, 0.000], [0.500, 0.000, 0.000], [0.500, 0.500, 0.500]],
  "formation_energy_uncorrected_mev_per_atom": -1552,
  "m_tot_mub_per_cell": 0.000,
  "spacegroup": "No. 123"
}